DyZnH8Ru2 | GGA-PBE | relaxed

Calculated values
Space group: P-3m1, No. 164

Unit cell a=4.5940 b=4.5940 c=6.5108 alpha=90.00 beta=90.00 gamma=120.00
Atoms (fractional coordinates):
Dy (0.0000, 0.0000, 0.0000)
Zn (0.0000, 0.0000, 0.5000)
H (0.1397, 0.2795, 0.2760)
H (0.1397, 0.8603, 0.2760)
H (0.2795, 0.1397, 0.7240)
H (0.3333, 0.6667, 0.0869)
H (0.6667, 0.3333, 0.9131)
H (0.7205, 0.8603, 0.2760)
H (0.8603, 0.1397, 0.7240)
H (0.8603, 0.7205, 0.7240)
Ru (0.3333, 0.6667, 0.3390)
Ru (0.6667, 0.3333, 0.6610)


CsLiHg2Br | GGA-PBE | relaxed

Calculated values
Space group: P4/mmm, No. 123

Unit cell a=5.4861 b=5.4861 c=5.6331 alpha=90.00 beta=90.00 gamma=90.00
Atoms (fractional coordinates):
Cs (0.0000, 0.0000, 0.0000)
Li (0.5000, 0.5000, 0.5000)
Hg (0.0000, 0.5000, 0.5000)
Hg (0.5000, 0.0000, 0.5000)
Br (0.5000, 0.5000, 0.0000)


CaTlCoCl2 | GGA-PBE | relaxed

Calculated values
Space group: P4/mmm, No. 123

Unit cell a=5.5276 b=5.5276 c=6.3018 alpha=90.00 beta=90.00 gamma=90.00
Atoms (fractional coordinates):
Ca (0.0000, 0.0000, 0.0000)
Tl (0.0000, 0.0000, 0.5000)
Co (0.5000, 0.5000, 0.0000)
Cl (0.0000, 0.5000, 0.5000)
Cl (0.5000, 0.0000, 0.5000)


ScSeN2 | GGA-PBE | relaxed

Calculated values
Space group: I-42d, No. 122

Unit cell a=4.6649 b=4.6649 c=11.0500 alpha=90.00 beta=90.00 gamma=90.00
Atoms (fractional coordinates):
Sc (0.0000, 0.0000, 0.0000)
Sc (0.0000, 0.5000, 0.2500)
Sc (0.5000, 0.0000, 0.7500)
Sc (0.5000, 0.5000, 0.5000)
Se (0.0000, 0.0000, 0.5000)
Se (0.0000, 0.5000, 0.7500)
Se (0.5000, 0.0000, 0.2500)
Se (0.5000, 0.5000, 0.0000)
N (0.2481, 0.2500, 0.1250)
N (0.2500, 0.7481, 0.3750)
N (0.2500, 0.7519, 0.8750)
N (0.2519, 0.2500, 0.6250)
N (0.7481, 0.7500, 0.6250)
N (0.7500, 0.2481, 0.8750)
N (0.7500, 0.2519, 0.3750)
N (0.7519, 0.7500, 0.1250)


M_tot, record by record: 0.000; 0.000; 2.384; 0.000 μB per cell
E_tot, record by record: -4.1833; -1.6586; -2.6674; -6.5196 eV per atom